Record 1
The following is a DFT calculation (PBE) of a relaxed structure of ErCoSn3.

Output
As for the space group: Ama2 (40). The calculated formation energy comes out at -19 kJ/mol of atoms.

a = 4.1624 Å, b = 6.7652 Å, c = 9.2353 Å
α = 111.49°, β = 90.00°, γ = 90.00°
Last column: magnetic moment on the atom in μB.
Fractional coordinates of all 10 atoms:
1 Sn 0.7500 0.7461 0.6102  0.00
2 Sn 0.7500 0.3226 0.6256  -0.01
3 Sn 0.2500 0.6970 0.3744  -0.01
4 Sn 0.2500 0.1359 0.3898  0.00
5 Sn 0.2500 0.6706 0.8610  -0.01
6 Sn 0.7500 0.8096 0.1390  -0.01
7 Co 0.2500 0.5028 0.0740  0.56
8 Co 0.7500 0.4288 0.9260  0.56
9 Er 0.7500 0.3175 0.1902  -0.06
10 Er 0.2500 0.1273 0.8098  -0.06

***

Record 2
The following is a DFT calculation (PBE) of a relaxed structure of Er3CoSn2.

Output
As for the space group: Pnma (62). The calculated formation energy comes out at -57 kJ/mol of atoms.

a = 4.2708 Å, b = 11.4522 Å, c = 12.1071 Å
α = 90.00°, β = 90.00°, γ = 90.00°
Fractional coordinates of all 24 atoms:
1 Er 0.2500 0.1312 0.5545
2 Er 0.7500 0.6312 0.9455
3 Er 0.7500 0.2129 0.2592
4 Er 0.2500 0.0463 0.8769
5 Er 0.2500 0.7871 0.7408
6 Er 0.2500 0.7129 0.2408
7 Er 0.7500 0.9537 0.1231
8 Er 0.7500 0.2871 0.7592
9 Er 0.7500 0.5463 0.6231
10 Er 0.7500 0.8688 0.4455
11 Er 0.2500 0.4537 0.3769
12 Er 0.2500 0.3688 0.0545
13 Co 0.2500 0.3660 0.6286
14 Co 0.7500 0.8660 0.8714
15 Co 0.7500 0.6340 0.3714
16 Co 0.2500 0.1340 0.1286
17 Sn 0.2500 0.0077 0.3112
18 Sn 0.7500 0.3131 0.5024
19 Sn 0.2500 0.6869 0.4976
20 Sn 0.7500 0.9923 0.6888
21 Sn 0.2500 0.8131 0.9976
22 Sn 0.7500 0.1869 0.0024
23 Sn 0.7500 0.5077 0.1888
24 Sn 0.2500 0.4923 0.8112

***

Record 3
The following is a DFT calculation (PBE) of a relaxed structure of Er3CoSn.

Output
As for the space group: P2_1/m (11). The calculated formation energy comes out at -41 kJ/mol of atoms.

a = 4.3137 Å, b = 7.7400 Å, c = 8.1856 Å
α = 114.87°, β = 90.00°, γ = 90.00°
Fractional coordinates of all 10 atoms:
1 Co 0.7500 0.0599 0.5778
2 Co 0.2500 0.9401 0.4222
3 Er 0.7500 0.6693 0.4099
4 Er 0.7500 0.3254 0.9141
5 Er 0.7500 0.0453 0.2385
6 Er 0.2500 0.3307 0.5901
7 Er 0.2500 0.9547 0.7615
8 Er 0.2500 0.6746 0.0859
9 Sn 0.7500 0.6728 0.8022
10 Sn 0.2500 0.3272 0.1978

***

Record 4
The following is a DFT calculation (PBE) of a relaxed structure of Er4CoSn8.

Output
As for the space group: Pmm2 (25). The calculated formation energy comes out at -49 kJ/mol of atoms.

a = 4.3904 Å, b = 4.4201 Å, c = 16.5007 Å
α = 90.00°, β = 90.00°, γ = 90.00°
Fractional coordinates of all 13 atoms:
1 Er 0.5000 0.5000 0.3931
2 Er 0.5000 0.0000 0.8994
3 Er 0.0000 0.5000 0.6022
4 Er 0.0000 0.0000 0.0944
5 Sn 0.5000 0.0000 0.5748
6 Sn 0.5000 0.5000 0.7526
7 Sn 0.5000 0.0000 0.2345
8 Sn 0.0000 0.5000 0.2351
9 Sn 0.0000 0.5000 0.9314
10 Sn 0.5000 0.5000 0.0584
11 Sn 0.0000 0.0000 0.4541
12 Sn 0.0000 0.0000 0.7498
13 Co 0.0000 0.0000 0.3062